Entry 1:
AcRuO3: relaxed, PBE-GGA.

Cell and atoms, written as POSCAR:
```
AcRuO3
1.0
-2.836 2.701 -1.018
-0.018 -1.444 -3.779
-2.886 -2.644 1.024
Ru Ac O
1 1 3
direct
0.000 0.000 0.000
0.500 0.500 0.500
0.000 0.500 0.000
0.000 0.000 0.500
0.500 0.000 0.000
```

Computed properties:
The uncorrected formation energy is -1.980 eV/atom. As for the magnetization: 0.91 Bohr magnetons per cell. The space-group type is Pm-3m (221).

Entry 2:
TmFeSiC: relaxed, PBE-GGA.

Cell and atoms, written as POSCAR:
```
TmFeSiC
1.0
-1.024 1.012 3.283
3.273 -0.753 1.253
2.581 8.302 -1.756
Tm Fe Si C
2 2 2 2
direct
0.000 0.500 0.862
0.500 0.000 0.138
0.000 0.000 0.500
0.500 0.500 0.500
0.000 0.500 0.331
0.500 0.000 0.669
0.500 0.000 0.872
0.000 0.500 0.128
```

Computed properties:
The uncorrected formation energy is -0.428 eV/atom. As for the magnetization: 2.84 Bohr magnetons per cell. The space-group type is P4/nmm (129).

Entry 3:
MnI2Cl: relaxed, PBE-GGA.

Cell and atoms, written as POSCAR:
```
MnI2Cl
1.0
-1.687 2.065 2.057
-6.761 0.446 -3.346
-5.907 -4.234 2.078
Mn I Cl
1 2 1
direct
0.750 0.905 0.595
0.096 0.878 0.926
0.402 0.574 0.622
0.252 0.143 0.357
```

Computed properties:
The uncorrected formation energy is -0.442 eV/atom. As for the energy relative to the lowest polymorph listed for this composition: 48.5 meV/atom. As for the magnetization: 4.39 Bohr magnetons per cell. The space-group type is P1 (1).

Entry 4:
Ge2IO: relaxed, PBE-GGA.

Cell and atoms, written as POSCAR:
```
Ge2IO
1.0
0.000 3.416 3.416
3.416 0.000 3.416
3.416 3.416 0.000
I Ge O
1 2 1
direct
0.500 0.500 0.500
0.250 0.250 0.250
0.750 0.750 0.750
0.000 0.000 0.000
```

Computed properties:
The uncorrected formation energy is 0.470 eV/atom. As for the energy relative to the lowest polymorph listed for this composition: 667.4 meV/atom. As for the magnetization: 0.00 Bohr magnetons per cell. The space-group type is Fm-3m (225).

Entry 5:
SrAlCr2Te: relaxed, PBE-GGA.

Cell and atoms, written as POSCAR:
```
SrAlCr2Te
1.0
-4.285 2.183 1.798
-3.195 -4.145 -2.581
0.312 -2.880 4.239
Sr Te Al Cr
1 1 1 2
direct
0.500 0.500 0.500
0.000 0.000 0.000
0.000 0.500 0.000
0.000 0.000 0.500
0.500 0.000 0.000
```

Computed properties:
The uncorrected formation energy is 0.700 eV/atom. As for the magnetization: 7.59 Bohr magnetons per cell. The space-group type is P4/mmm (123).

Entry 6:
Ca2MgCd6Cu: relaxed, PBE-GGA.

Cell and atoms, written as POSCAR:
```
Ca2MgCd6Cu
1.0
-0.611 6.894 1.313
-3.107 4.220 -4.708
-11.796 1.772 4.103
Ca Mg Cd Cu
4 2 12 2
direct
0.896 0.896 0.313
0.104 0.104 0.687
0.721 0.721 0.836
0.279 0.279 0.164
0.573 0.573 0.281
0.427 0.427 0.719
0.924 0.331 0.414
0.331 0.924 0.414
0.331 0.331 0.414
0.076 0.669 0.586
0.669 0.076 0.586
0.669 0.669 0.586
0.651 0.221 0.908
0.221 0.651 0.908
0.221 0.221 0.908
0.349 0.779 0.092
0.779 0.349 0.092
0.779 0.779 0.092
0.000 0.000 0.000
0.500 0.500 0.500
```

Computed properties:
Its formation energy from the elements is -0.12 eV/atom. As for the magnetization: 0.00 Bohr magnetons per cell. The space-group type is R-3m (166).